No. 1
A geometry-optimized LiZr2BiO structure. Source: Alexandria, functional PBE.

Geometry as POSCAR:
```
LiZr2BiO
1.0
-2.4059 2.4010 3.0355
-3.4484 0.2927 -2.9648
-1.6353 -3.5947 1.5472
O Bi Zr Li
1 1 2 1
direct
0.0000 0.0000 0.0000 O
0.5000 0.5000 0.5000 Bi
0.0000 0.5000 0.0000 Zr
0.5000 0.0000 0.0000 Zr
0.0000 0.0000 0.5000 Li
```

=====

No. 2
A geometry-optimized SrRu2Se structure. Source: Alexandria, functional PBE.

Geometry as POSCAR:
```
SrRu2Se
1.0
3.1667 0.0000 0.0000
0.0000 3.1667 0.0000
0.0000 0.0000 7.6370
Ru Se Sr
2 1 1
direct
0.0000 0.0000 0.0554 Ru
0.5000 0.5000 0.2421 Ru
0.0000 0.0000 0.4478 Se
0.5000 0.5000 0.7547 Sr
```

=====

No. 3
A geometry-optimized K2NpHgO5 structure. Source: Alexandria, functional PBE.

Geometry as POSCAR:
```
K2NpHgO5
1.0
4.4310 0.0000 0.0000
0.0000 6.0418 0.0000
-2.2155 -3.0209 6.2772
K Np Hg O
2 1 1 5
direct
0.2234 0.2234 0.4468 K
0.7766 0.7766 0.5532 K
0.5000 0.0000 0.0000 Np
0.0000 0.5000 0.0000 Hg
0.6141 0.8946 0.2281 O
0.3859 0.1054 0.7719 O
0.3859 0.6665 0.7719 O
0.6141 0.3335 0.2281 O
0.0000 0.0000 0.0000 O
```

=====

Number 1: E -33.2 eV per cell. Number 2: E -23.1 eV per cell. Number 3: E -56.8 eV per cell.